SiMo2Cl (meta-GGA SCAN, single point on PBEsol structure); ΔE_f (raw) = 94.7 kJ per mole of atoms; total DFT energy (no corrections) = -20.960 eV/atom; calculated volume = 16.16 Å³/atom; SG = I-42d
1.0
6.3606 0.0000 0.0000
0.0000 6.3606 0.0000
0.0000 0.0000 6.3926
Si Mo Cl
4 8 4
Direct
0.0000 0.0000 0.0000
0.0000 0.5000 0.2500
0.5000 0.0000 0.7500
0.5000 0.5000 0.5000
0.2299 0.7500 0.6250
0.2500 0.2299 0.3750
0.2500 0.2701 0.8750
0.2701 0.7500 0.1250
0.7299 0.2500 0.1250
0.7500 0.7299 0.8750
0.7500 0.7701 0.3750
0.7701 0.2500 0.6250
0.0000 0.0000 0.5000
0.0000 0.5000 0.7500
0.5000 0.0000 0.2500
0.5000 0.5000 0.0000